[1]
FeP4O12 | PBEsol | relaxed

Unit cell a=5.1467 b=10.4880 c=10.4880 alpha=74.76 beta=80.66 gamma=80.66
Each line ends with the local moment (μB).
Fractional coordinates of all 34 atoms:
Fe 0.0000 0.5000 0.0000  3.12
Fe 0.0000 0.0000 0.5000  3.12
P 0.5433 0.0793 0.3139  0.01
P 0.8307 0.3514 0.8114  0.00
P 0.4567 0.6861 0.9207  0.01
P 0.5433 0.3139 0.0793  0.01
P 0.8307 0.8114 0.3514  0.00
P 0.1693 0.6486 0.1886  0.00
P 0.1693 0.1886 0.6486  0.00
P 0.4567 0.9207 0.6861  0.01
O 0.2496 0.3453 0.1055  0.07
O 0.9729 0.1263 0.5911  0.10
O 0.7504 0.8945 0.6547  0.07
O 0.6350 0.2792 0.9395  0.02
O 0.3082 0.5624 0.2962  0.04
O 0.7041 0.0924 0.4193  0.07
O 0.0000 0.2165 0.7835  0.00
O 0.2959 0.5807 0.9076  0.07
O 0.0271 0.4089 0.8737  0.10
O 0.2496 0.1055 0.3453  0.07
O 0.9729 0.5911 0.1263  0.10
O 0.6439 0.1769 0.1769  0.02
O 0.3561 0.8231 0.8231  0.02
O 0.7504 0.6547 0.8945  0.07
O 0.3650 0.0605 0.7208  0.02
O 0.0000 0.7835 0.2165  0.00
O 0.6918 0.7038 0.4376  0.04
O 0.7041 0.4193 0.0924  0.07
O 0.0271 0.8737 0.4089  0.10
O 0.2959 0.9076 0.5807  0.07
O 0.6918 0.4376 0.7038  0.04
O 0.3650 0.7208 0.0605  0.02
O 0.6350 0.9395 0.2792  0.02
O 0.3082 0.2962 0.5624  0.04

Summary:
Energy above the most stable polymorph in this dataset, meV/atom: 0
Space-group type: No. 12
Total energy, eV/atom: -7.447
Uncorrected formation energy, eV/f.u.: -31.5



[2]
BaMo2HW | PBEsol | relaxed

Unit cell a=3.5757 b=5.0073 c=5.0073 alpha=90.00 beta=90.00 gamma=90.00
Fractional coordinates of all 5 atoms:
H 0.5000 0.0000 0.0000
Mo 0.0000 0.0000 0.5000
Mo 0.0000 0.5000 0.0000
Ba 0.5000 0.5000 0.5000
W 0.0000 0.0000 0.0000

Summary:
Space-group type: No. 123
Total energy, eV/atom: -7.097
Density of states at the Fermi level, states/eV/cell: 5.4



[3]
ZrCuNi | PBEsol | relaxed

Unit cell a=4.1984 b=4.1984 c=4.1984 alpha=60.00 beta=60.00 gamma=60.00
Fractional coordinates of all 3 atoms:
Cu 0.0000 0.0000 0.0000
Ni 0.5000 0.5000 0.5000
Zr 0.2500 0.2500 0.2500

Summary:
Energy above the most stable polymorph in this dataset, meV/atom: 724
Space-group type: No. 216
Total energy, eV/atom: -6.102
E_form, eV/atom: 0.425
Density of states at the Fermi level, states/eV/cell: 2.7



[4]
BiRuCl2 | PBEsol | relaxed

Unit cell a=3.2205 b=3.2205 c=9.4219 alpha=80.16 beta=80.16 gamma=60.00
Each line ends with the local moment (μB).
Fractional coordinates of all 4 atoms:
Ru 0.0000 0.0000 0.0000  1.18
Bi 0.5000 0.5000 0.5000  -0.01
Cl 0.9191 0.9191 0.2427  0.06
Cl 0.0809 0.0809 0.7573  0.06

Summary:
Energy above the most stable polymorph in this dataset, meV/atom: 152
Space-group type: No. 166
Total energy, eV/atom: -4.391
Density of states at the Fermi level, states/eV/cell: 3.0
Uncorrected formation energy, eV/f.u.: 0.9



[5]
AsF5 | PBEsol | relaxed

Unit cell a=5.7552 b=5.7552 c=6.3980 alpha=90.00 beta=90.00 gamma=120.00
Fractional coordinates of all 12 atoms:
As 0.6667 0.3333 0.7500
As 0.3333 0.6667 0.2500
F 0.8374 0.1626 0.7500
F 0.3251 0.1626 0.7500
F 0.8374 0.6749 0.7500
F 0.1626 0.8374 0.2500
F 0.6749 0.8374 0.2500
F 0.1626 0.3251 0.2500
F 0.6667 0.3333 0.0218
F 0.3333 0.6667 0.5218
F 0.3333 0.6667 0.9782
F 0.6667 0.3333 0.4782

Summary:
Space-group type: No. 194
Total energy, eV/atom: -4.504
Density of states at the Fermi level, states/eV/cell: 0.0
Uncorrected formation energy, eV/f.u.: -12.3



[6]
CoReNi | PBEsol | relaxed

Unit cell a=2.5851 b=3.5757 c=4.3553 alpha=114.24 beta=107.26 gamma=90.00
Fractional coordinates of all 3 atoms:
Re 0.3348 0.3348 0.6695
Co 0.9995 0.9995 0.9990
Ni 0.6657 0.6657 0.3314

Summary:
Energy above the most stable polymorph in this dataset, meV/atom: 0
Space-group type: No. 44
Total energy, eV/atom: -9.127
E_form, eV/atom: -0.052
Density of states at the Fermi level, states/eV/cell: 2.5



[7]
Mg5Si16Pd10 | PBEsol | relaxed

Unit cell a=8.8611 b=8.8611 c=8.8611 alpha=60.00 beta=60.00 gamma=60.00
Fractional coordinates of all 31 atoms:
Mg 0.4029 0.7913 0.4029
Mg 0.7913 0.4029 0.4029
Mg 0.4029 0.4029 0.7913
Mg 0.4029 0.4029 0.4029
Mg 0.7500 0.7500 0.7500
Si 0.7948 0.7948 0.0728
Si 0.7948 0.0728 0.7948
Si 0.3376 0.7948 0.0728
Si 0.7948 0.3376 0.0728
Si 0.3376 0.0728 0.7948
Si 0.0728 0.7948 0.7948
Si 0.7948 0.0728 0.3376
Si 0.7948 0.3376 0.7948
Si 0.7948 0.7948 0.3376
Si 0.3376 0.7948 0.7948
Si 0.1770 0.4691 0.1770
Si 0.1770 0.1770 0.4691
Si 0.0728 0.3376 0.7948
Si 0.4691 0.1770 0.1770
Si 0.1770 0.1770 0.1770
Si 0.0728 0.7948 0.3376
Pd 0.4873 0.0127 0.4873
Pd 0.4873 0.4873 0.0127
Pd 0.0127 0.0127 0.4873
Pd 0.1319 0.6227 0.6227
Pd 0.6227 0.6227 0.1319
Pd 0.6227 0.1319 0.6227
Pd 0.4873 0.0127 0.0127
Pd 0.0127 0.4873 0.0127
Pd 0.6227 0.6227 0.6227
Pd 0.0127 0.4873 0.4873

Summary:
Space-group type: No. 216
Total energy, eV/atom: -5.700
Density of states at the Fermi level, states/eV/cell: 7.1
Uncorrected formation energy, eV/f.u.: -16.6



[8]
ZnTe2Ir | PBEsol | relaxed

Unit cell a=3.4170 b=3.4142 c=7.1957 alpha=90.00 beta=90.00 gamma=90.00
Fractional coordinates of all 4 atoms:
Ir 0.5000 0.5000 0.7218
Te 0.0000 0.0000 0.9097
Te 0.5000 0.5000 0.3341
Zn 0.0000 0.0000 0.5344

Summary:
Space-group type: No. 99
Total energy, eV/atom: -4.489
Density of states at the Fermi level, states/eV/cell: 2.0
Uncorrected formation energy, eV/f.u.: 0.5